Record 1
# LiCrF4

An optimized crystal structure of LiCrF4 (PBEsol, Alexandria).

Geometry as POSCAR:
```
LiCrF4
1.0
7.7906 -5.0465 0.0000
7.7906 5.0465 0.0000
-1.4678 0.0000 7.0607
Li Cr F
8 8 32
direct
0.0255 0.5898 0.8877
0.1117 0.1488 0.3268
0.1488 0.1117 0.8268
0.4102 0.9745 0.6123
0.5898 0.0255 0.3877
0.8512 0.8883 0.1732
0.8883 0.8512 0.6732
0.9745 0.4102 0.1123
0.2421 0.7526 0.5011
0.2474 0.7579 0.9989
0.3245 0.3288 0.4169
0.3288 0.3245 0.9169
0.6712 0.6755 0.0831
0.6755 0.6712 0.5831
0.7526 0.2421 0.0011
0.7579 0.2474 0.4989
0.0332 0.8016 0.9026
0.0392 0.7676 0.5026
0.1124 0.3495 0.9186
0.1151 0.3683 0.3236
0.1777 0.8223 0.2500
0.1984 0.9668 0.5974
0.2324 0.9608 0.9974
0.2483 0.5477 0.0111
0.2624 0.3911 0.6674
0.3112 0.6888 0.7500
0.3169 0.5334 0.3985
0.3495 0.1124 0.4186
0.3683 0.1151 0.8236
0.3911 0.2624 0.1674
0.4523 0.7517 0.4889
0.4666 0.6831 0.1015
0.5334 0.3169 0.8985
0.5477 0.2483 0.5111
0.6089 0.7376 0.8326
0.6317 0.8849 0.1764
0.6505 0.8876 0.5814
0.6831 0.4666 0.6015
0.6888 0.3112 0.2500
0.7376 0.6089 0.3326
0.7517 0.4523 0.9889
0.7676 0.0392 0.0026
0.8016 0.0332 0.4026
0.8223 0.1777 0.7500
0.8849 0.6317 0.6764
0.8876 0.6505 0.0814
0.9608 0.2324 0.4974
0.9668 0.1984 0.0974
```

Values from the calculation:
For the raw formation energy, the calculation gives -2.71 eV per atom. Its raw total energy is -6.0299 eV per atom. The spin magnetization comes out at 3.00 μB per formula unit.

Record 2
# NaLa2Au2

An optimized crystal structure of NaLa2Au2 (PBEsol, Alexandria).

Geometry as POSCAR:
```
NaLa2Au2
1.0
8.3083 0.0000 0.0000
0.0000 8.3083 0.0000
0.0000 0.0000 3.8973
Na La Au
2 4 4
direct
0.0000 0.0000 0.0000
0.5000 0.5000 0.0000
0.1605 0.3395 0.5000
0.3395 0.8395 0.5000
0.6605 0.1605 0.5000
0.8395 0.6605 0.5000
0.1330 0.6330 0.0000
0.3670 0.1330 0.0000
0.6330 0.8670 0.0000
0.8670 0.3670 0.0000
```

Values from the calculation:
The calculated formation energy is -0.5811 eV/atom. Its raw total energy is -4.5692 eV per atom. For the density of states at the Fermi level, the calculation gives 7.464 states/eV per cell. The spin magnetization comes out at 0.00 μB per formula unit.

Record 3
# LaBe4As

An optimized crystal structure of LaBe4As (PBEsol, Alexandria).

Geometry as POSCAR:
```
LaBe4As
1.0
0.0000 3.5181 3.5181
3.5181 0.0000 3.5181
3.5181 3.5181 0.0000
La Be As
1 4 1
direct
0.0000 0.0000 0.0000
0.1318 0.6227 0.6227
0.6227 0.1318 0.6227
0.6227 0.6227 0.1318
0.6227 0.6227 0.6227
0.2500 0.2500 0.2500
```

Values from the calculation:
The calculated formation energy is 0.3747 eV/atom. Its raw total energy is -4.0341 eV per atom. For the density of states at the Fermi level, the calculation gives 3.772 states/eV per cell. The spin magnetization comes out at 0.00 μB per formula unit.

Record 4
# InSe

An optimized crystal structure of InSe (PBEsol, Alexandria).

Geometry as POSCAR:
```
InSe
1.0
-1.8444 1.9095 7.3512
1.8444 -1.9095 7.3512
1.8444 1.9095 -7.3512
In Se
2 2
direct
0.4123 0.1623 0.2500
0.5877 0.8377 0.7500
0.1484 0.3984 0.7500
0.8516 0.6016 0.2500
```

Values from the calculation:
For the raw formation energy, the calculation gives -0.24 eV per atom. Its raw total energy is -3.6541 eV per atom. For the density of states at the Fermi level, the calculation gives 1.579 states/eV per cell. The spin magnetization comes out at 0.00 μB per formula unit.

Record 5
# RbNaBeP2

An optimized crystal structure of RbNaBeP2 (PBEsol, Alexandria).

Geometry as POSCAR:
```
RbNaBeP2
1.0
4.4392 0.0000 0.0000
0.0000 4.4392 0.0000
0.0000 0.0000 5.3167
Rb Na Be P
1 1 1 2
direct
0.0000 0.0000 0.0000
0.5000 0.5000 0.0000
0.0000 0.0000 0.5000
0.0000 0.5000 0.5000
0.5000 0.0000 0.5000
```

Values from the calculation:
The calculated formation energy is 0.2651 eV/atom. Its raw total energy is -3.3364 eV per atom. For the density of states at the Fermi level, the calculation gives 1.122 states/eV per cell. The spin magnetization comes out at 0.00 μB per formula unit.

Record 6
# BaYSe2

An optimized crystal structure of BaYSe2 (PBEsol, Alexandria).

Geometry as POSCAR:
```
BaYSe2
1.0
-2.2008 3.1433 4.1114
2.2008 -3.1433 4.1114
2.2008 3.1433 -4.1114
Ba Y Se
1 1 2
direct
0.0000 0.0000 0.0000
0.5000 0.5000 0.0000
0.2828 0.7828 0.5000
0.7172 0.2172 0.5000
```

Values from the calculation:
The value obtained for the polymorph energy (0 for the lowest one) is 387 meV per atom. For the raw formation energy, the calculation gives -1.55 eV per atom. Its raw total energy is -5.7185 eV per atom. For the density of states at the Fermi level, the calculation gives 2.085 states/eV per cell. The spin magnetization comes out at 0.00 μB per formula unit.

Record 7
# YAl2Ir2

An optimized crystal structure of YAl2Ir2 (PBEsol, Alexandria).

Geometry as POSCAR:
```
YAl2Ir2
1.0
-1.9543 1.9543 5.7603
1.9543 -1.9543 5.7603
1.9543 1.9543 -5.7603
Y Al Ir
1 2 2
direct
0.0000 0.0000 0.0000
0.2500 0.7500 0.5000
0.7500 0.2500 0.5000
0.3865 0.3865 0.0000
0.6135 0.6135 0.0000
```

Values from the calculation:
The calculated formation energy is -0.8345 eV/atom. Its raw total energy is -7.7650 eV per atom. For the density of states at the Fermi level, the calculation gives 2.768 states/eV per cell. The spin magnetization comes out at 0.00 μB per formula unit.

Record 8
# Cu2MoPt

An optimized crystal structure of Cu2MoPt (PBEsol, Alexandria).

Geometry as POSCAR:
```
Cu2MoPt
1.0
2.6704 0.0000 0.0000
0.0000 4.5090 0.0000
0.0000 0.0000 4.5725
Cu Mo Pt
2 1 1
direct
0.0000 0.0000 0.0000
0.5000 0.0000 0.5000
0.0000 0.5000 0.5000
0.5000 0.5000 0.0000
```

Values from the calculation:
The value obtained for the polymorph energy (0 for the lowest one) is 222 meV per atom. The calculated formation energy is 0.1615 eV/atom. Its raw total energy is -6.6884 eV per atom. For the density of states at the Fermi level, the calculation gives 2.721 states/eV per cell. The spin magnetization comes out at 0.00 μB per formula unit.